Entry 1:
DFT (PBE) results for BaAlPb3 after structural relaxation.

abc: 6.303 6.303 6.303
angles: 90.00 90.00 90.00
Fractional coordinates of all 5 atoms:
Ba 0.000 0.000 0.000
Al 0.500 0.500 0.500
Pb 0.000 0.000 0.500
Pb 0.000 0.500 0.000
Pb 0.500 0.000 0.000

Values from the calculation:
**Symmetry**: No. 221
**Fermi-level density of states**: 6.07 states/eV/cell
**Raw total energy**: -2.33 eV per atom
**Energy relative to the elements**: 1.028 eV/atom



Entry 2:
DFT (PBE) results for Ba3Al2Pb2 after structural relaxation.

abc: 7.028 7.028 10.249
angles: 118.49 118.49 37.10
Fractional coordinates of all 7 atoms:
Ba 0.000 0.000 0.000
Ba 0.176 0.176 0.645
Ba 0.824 0.824 0.355
Al 0.304 0.304 0.055
Al 0.696 0.696 0.945
Pb 0.468 0.468 0.693
Pb 0.532 0.532 0.307

Values from the calculation:
**Symmetry**: No. 12
**Fermi-level density of states**: 3.86 states/eV/cell
**Raw total energy**: -3.33 eV per atom
**Energy relative to the elements**: -0.381 eV/atom